1.
The following is a PBE calculation of a relaxed ReNi2Se2 crystal, from the Alexandria database.

Lattice parameters (Å, degrees): 3.9455 3.9455 10.3307 90.00 90.00 90.00
Closest atoms and distances in Å follow each position.
Space group I4/mmm (No. 139)
Unique sites:
Re: 0.0000 0.0000 0.0000  8 Ni 3.02, 8 Se 3.25
Ni: 0.0000 0.0000 0.3879  1 Ni 2.32, 4 Se 2.43
Se: 0.0000 0.5000 0.2500  4 Ni 2.43

E above lowest polymorph: 473.8 meV/atom
M_tot: 2.9 μB per formula unit

***

2.
The following is a PBE calculation of a relaxed Re2NiSe crystal, from the Alexandria database.

Lattice parameters (Å, degrees): 3.0309 4.4954 8.9838 90.00 90.00 90.00
Closest atoms and distances in Å follow each position.
Space group Cmm2 (No. 35)
Unique sites:
Re: 0.0000 0.0000 0.0000  2 Ni 2.58, 6 Re 2.61-2.71
Re: 0.0000 0.5000 0.2372  6 Re 2.61-2.71
Ni: 0.0000 0.5000 0.7672  2 Se 2.51, 2 Re 2.58, 4 Ni 2.71
Se: 0.0000 0.0000 0.5441  2 Ni 2.51, 4 Se 2.71

E_tot: -8.026 eV/atom
M_tot: 0.0 μB per formula unit

***

3.
The following is a PBE calculation of a relaxed ReNiSe2 crystal, from the Alexandria database.

Lattice parameters (Å, degrees): 2.6322 4.1464 6.0924 90.00 90.34 90.00
Closest atoms and distances in Å follow each position.
Space group P2/m (No. 10)
Unique sites:
Re: 0.0000 0.0000 0.0000  4 Se 2.59, 2 Re 2.63
Ni: 0.0000 0.0000 0.5000  4 Se 2.55, 2 Ni 2.63
Se: 0.0033 0.5000 0.7450  2 Ni 2.55, 2 Re 2.59, 2 Se 2.63

E above lowest polymorph: 530.2 meV/atom
M_tot: 0.0 μB per formula unit

***

4.
The following is a PBE calculation of a relaxed Re2NiSe crystal, from the Alexandria database.

Lattice parameters (Å, degrees): 2.8411 2.8411 24.9727 90.00 90.00 120.00
Closest atoms and distances in Å follow each position.
Space group R3m (No. 160, hexagonal axes)
Unique sites:
Re: 0.0000 0.0000 0.0000  9 Re 2.68-2.84, 3 Se 2.74
Re: 0.0000 0.0000 0.2485  3 Ni 2.68, 9 Re 2.68-2.84
Ni: 0.0000 0.0000 0.4969  3 Se 2.50, 3 Re 2.68
Se: 0.0000 0.0000 0.7548  3 Ni 2.50, 3 Re 2.74

E_tot: -8.270 eV/atom
M_tot: 0.0 μB per formula unit

***

5.
The following is a PBE calculation of a relaxed Re2NiSe crystal, from the Alexandria database.

Lattice parameters (Å, degrees): 3.9796 3.9796 7.3137 90.00 90.00 90.00
Closest atoms and distances in Å follow each position.
Space group I-4m2 (No. 119)
Unique sites:
Re: 0.0000 0.0000 0.0000  4 Se 2.70, 4 Re 2.70, 4 Ni 2.81
Re: 0.0000 0.5000 0.2500  4 Re 2.70, 4 Ni 2.70, 4 Se 2.81
Ni: 0.0000 0.0000 0.5000  4 Se 2.70, 8 Re 2.70-2.81
Se: 0.0000 0.5000 0.7500  8 Re 2.70-2.81, 4 Ni 2.70

E_tot: -7.967 eV/atom
M_tot: 0.0 μB per formula unit

***

6.
The following is a PBE calculation of a relaxed Re2NiSe crystal, from the Alexandria database.

Lattice parameters (Å, degrees): 3.0738 4.3334 9.0800 90.00 90.00 90.00
Closest atoms and distances in Å follow each position.
Space group Cmmm (No. 65)
Unique sites:
Re: 0.0000 0.0000 0.2229  2 Ni 2.54, 4 Re 2.66
Ni: 0.0000 0.5000 0.0000  4 Re 2.54, 4 Ni 2.66
Se: 0.0000 0.5000 0.5000  4 Se 2.66, 4 Re 2.95

E_tot: -7.795 eV/atom
M_tot: 0.0 μB per formula unit

***

7.
The following is a PBE calculation of a relaxed ReNiSe3 crystal, from the Alexandria database.

Lattice parameters (Å, degrees): 3.6435 21.7355 5.7609 90.00 90.00 90.00
Closest atoms and distances in Å follow each position.
Space group Ama2 (No. 40)
Unique sites:
Re: 0.2500 0.1688 0.0000  5 Se 2.41-2.56
Ni: 0.2500 0.3633 0.8383  4 Se 2.27-2.33
Se: 0.2500 0.0768 0.2331  2 Ni 2.32, 1 Re 2.41
Se: 0.2500 0.2663 0.6927  1 Ni 2.27
Se: 0.2500 0.3735 0.2410  1 Ni 2.33, 2 Re 2.53

E above lowest polymorph: 0.0 meV/atom
M_tot: 0.7 μB per formula unit

***

8.
The following is a PBE calculation of a relaxed ReNiSe2 crystal, from the Alexandria database.

Lattice parameters (Å, degrees): 7.9085 3.1667 5.2008 90.00 97.31 90.00
Closest atoms and distances in Å follow each position.
Space group C2/m (No. 12)
Unique sites:
Re: 0.0000 0.0000 0.0000  6 Se 2.54-2.69
Ni: 0.0000 0.5000 0.5000  2 Se 2.33
Se: 0.2180 0.5000 0.2381  1 Ni 2.33, 2 Re 2.54

E above lowest polymorph: 265.5 meV/atom
M_tot: 0.0 μB per formula unit

***

9.
The following is a PBE calculation of a relaxed ReNiSe2 crystal, from the Alexandria database.

Lattice parameters (Å, degrees): 3.2388 3.3944 13.7999 90.00 90.00 90.00
Closest atoms and distances in Å follow each position.
Space group Imm2 (No. 44)
Unique sites:
Re: 0.0000 0.0000 0.0000  2 Ni 2.55, 6 Se 2.64-2.65
Ni: 0.0000 0.5000 0.8616  4 Se 2.35, 2 Re 2.55
Se: 0.0000 0.0000 0.5883  4 Re 2.64
Se: 0.0000 0.5000 0.3480  4 Ni 2.35

E above lowest polymorph: 114.2 meV/atom
M_tot: 0.0 μB per formula unit

***

10.
The following is a PBE calculation of a relaxed ReNiSe2 crystal, from the Alexandria database.

Lattice parameters (Å, degrees): 3.7330 3.7330 8.8160 90.00 90.00 90.00
Closest atoms and distances in Å follow each position.
Space group I-4m2 (No. 119)
Unique sites:
Re: 0.0000 0.0000 0.0000  8 Se 2.64-2.89, 4 Ni 2.89
Ni: 0.0000 0.5000 0.2500  8 Se 2.64-2.89, 4 Re 2.89
Se: 0.0000 0.0000 0.5000  4 Re 2.64, 4 Se 2.89, 4 Ni 2.89
Se: 0.0000 0.5000 0.7500  4 Ni 2.64, 4 Se 2.89, 4 Re 2.89

E above lowest polymorph: 661.8 meV/atom
M_tot: 0.0 μB per formula unit

***

11.
The following is a PBE calculation of a relaxed Re2NiSe crystal, from the Alexandria database.

Lattice parameters (Å, degrees): 2.8640 2.8640 24.4577 90.00 90.00 120.00
Closest atoms and distances in Å follow each position.
Space group R-3m (No. 166, hexagonal axes)
Unique sites:
Re: 0.0000 0.0000 0.2491  3 Ni 2.61, 3 Se 2.64, 6 Re 2.86
Ni: 0.0000 0.0000 0.5000  6 Re 2.61, 6 Ni 2.86
Se: 0.0000 0.0000 0.0000  6 Re 2.64, 6 Se 2.86

E_tot: -8.026 eV/atom
M_tot: 0.0 μB per formula unit

***

12.
The following is a PBE calculation of a relaxed Re2NiSe crystal, from the Alexandria database.

Lattice parameters (Å, degrees): 3.7334 3.7334 18.3515 90.00 90.00 90.00
Closest atoms and distances in Å follow each position.
Space group I-42d (No. 122)
Unique sites:
Re: 0.2057 0.2500 0.1250  2 Re 2.42, 2 Ni 2.59
Ni: 0.0000 0.0000 0.0000  4 Re 2.59, 4 Se 2.64
Se: 0.0000 0.0000 0.5000  4 Ni 2.64, 4 Re 2.71

E_tot: -7.895 eV/atom
M_tot: 0.0 μB per formula unit